This record from Alexandria via LeMat-Bulk describes a relaxed YHo7Tm12 crystal. The functional is PBE.

Unit cell a=8.578 b=8.578 c=8.578 alpha=94.71 beta=94.71 gamma=94.71
Fractional positions:
Y 0.000 0.000 0.000
Ho 0.903 0.640 0.968
Ho 0.360 0.032 0.097
Ho 0.032 0.097 0.360
Ho 0.500 0.500 0.500
Ho 0.968 0.903 0.640
Ho 0.640 0.968 0.903
Ho 0.097 0.360 0.032
Tm 0.831 0.254 0.696
Tm 0.746 0.304 0.169
Tm 0.504 0.156 0.429
Tm 0.844 0.571 0.496
Tm 0.304 0.169 0.746
Tm 0.571 0.496 0.844
Tm 0.429 0.504 0.156
Tm 0.696 0.831 0.254
Tm 0.156 0.429 0.504
Tm 0.496 0.844 0.571
Tm 0.254 0.696 0.831
Tm 0.169 0.746 0.304

Calculated values
DFT total energy (eV/cell): -85.8
Formation enthalpy at 0 K (eV per atom): 0.3183


This record from Alexandria via LeMat-Bulk describes a relaxed La6AsIr2I2 crystal. The functional is PBE.

Unit cell a=7.476 b=7.476 c=8.263 alpha=98.31 beta=98.31 gamma=119.04
Fractional positions:
La 0.708 0.708 0.692
La 0.062 0.408 0.695
La 0.292 0.292 0.308
La 0.408 0.062 0.695
La 0.938 0.592 0.305
La 0.592 0.938 0.305
As 0.000 0.000 0.500
Ir 0.331 0.669 0.500
Ir 0.669 0.331 0.500
I 0.838 0.162 0.000
I 0.162 0.838 0.000

Calculated values
ΔE_f (raw) (meV/atom): -997
DFT total energy (eV/cell): -66.0


This record from Alexandria via LeMat-Bulk describes a relaxed Nd3Si5Ir6 crystal. The functional is PBE.

Unit cell a=4.044 b=9.946 c=12.485 alpha=90.00 beta=90.00 gamma=90.00
Fractional positions:
Nd 0.000 0.253 0.654
Nd 0.500 0.747 0.154
Nd 0.500 0.747 0.846
Nd 0.000 0.258 0.000
Nd 0.500 0.742 0.500
Nd 0.000 0.253 0.346
Si 0.000 0.511 0.876
Si 0.000 0.852 0.675
Si 0.000 0.898 0.000
Si 0.500 0.489 0.624
Si 0.500 0.102 0.500
Si 0.000 0.511 0.124
Si 0.500 0.489 0.376
Si 0.000 0.852 0.325
Si 0.500 0.148 0.825
Si 0.500 0.148 0.175
Ir 0.000 0.012 0.830
Ir 0.500 0.988 0.670
Ir 0.500 0.396 0.799
Ir 0.500 0.506 0.000
Ir 0.000 0.494 0.500
Ir 0.000 0.604 0.701
Ir 0.000 0.604 0.299
Ir 0.500 0.024 0.000
Ir 0.000 0.012 0.170
Ir 0.500 0.396 0.201
Ir 0.000 0.976 0.500
Ir 0.500 0.988 0.330

Calculated values
ΔE_f (raw) (meV/atom): -950
DFT total energy (eV/cell): -215.8


This record from Alexandria via LeMat-Bulk describes a relaxed Ca2Fe2Si crystal. The functional is PBE.

Unit cell a=5.261 b=5.261 c=5.261 alpha=115.14 beta=115.14 gamma=98.64
Fractional positions:
Ca 0.750 0.250 0.500
Ca 0.250 0.750 0.500
Fe 0.341 0.341 0.000
Fe 0.659 0.659 0.000
Si 0.000 0.000 0.000

Calculated values
ΔE_f (raw) (meV/atom): 429
DFT total energy (eV/cell): -24.2